The following is a DFT calculation (PBE) of a relaxed structure of BaZnIn2.

Summary:
The value obtained for the formation energy is -12 kJ/mol of atoms. As for the density of states at the Fermi level: 2.7 states/eV/f.u. As for the space group: Immm (71).

a = 6.357 Å, b = 6.357 Å, c = 6.357 Å
α = 143.26°, β = 126.95°, γ = 66.26°
Fractional positions:
Ba1 0.000 0.000 0.000
Zn1 0.500 0.500 0.000
In1 0.289 0.789 0.500
In2 0.711 0.211 0.500